First-principles (GGA-PBE) data for an optimized crystal structure of K2Te4AsPb, as listed in the Alexandria database.

## Properties
Space group: Imma (74)
Calculated total energy in eV per atom: -3.30
Uncorrected formation energy in eV per atom: -0.410

abc: 9.2929 9.2929 9.6443
angles: 121.26 121.26 89.86
Positions (direct):
K 0.5000 0.0000 0.0000
K 0.5000 0.0000 0.5000
K 0.0000 0.0000 0.5000
K 0.5000 0.5000 0.0000
Te 0.2123 0.7614 0.9868
Te 0.7386 0.2877 0.5132
Te 0.2614 0.7123 0.4868
Te 0.7877 0.2386 0.0132
Te 0.7558 0.7443 0.9560
Te 0.7557 0.7443 0.5440
Te 0.2443 0.2558 0.4560
Te 0.2442 0.2557 0.0440
As 0.5000 0.5000 0.5000
As 0.0000 0.0000 0.0000
Pb 0.0000 0.5000 0.0000
Pb 0.0000 0.5000 0.5000

=====

First-principles (GGA-PBE) data for an optimized crystal structure of KLaIn2, as listed in the Alexandria database.

## Properties
Energy relative to the elements in eV/atom: -0.076
Space group: P4mm (99)
Calculated total energy in eV per atom: -2.95

abc: 3.6860 3.6860 10.4695
angles: 90.00 90.00 90.00
Positions (direct):
In 0.0000 0.0000 0.0212
In 0.5000 0.5000 0.2008
K 0.0000 0.0000 0.4581
La 0.5000 0.5000 0.8199

=====

First-principles (GGA-PBE) data for an optimized crystal structure of Ac2Nd2Sn7, as listed in the Alexandria database.

## Properties
Energy relative to the elements in eV/atom: -0.219
Space group: Cmmm (65)
Calculated total energy in eV per atom: -4.38

abc: 8.2338 5.9720 8.2338
angles: 90.00 96.01 90.00
Positions (direct):
Ac 0.7963 0.5000 0.7963
Ac 0.2037 0.5000 0.2037
Nd 0.7414 0.0000 0.2586
Nd 0.2586 0.0000 0.7414
Sn 0.9998 0.2580 0.5003
Sn 0.5003 0.7420 0.9998
Sn 0.0002 0.7420 0.4997
Sn 0.4997 0.2580 0.0002
Sn 0.0000 0.0000 0.0000
Sn 0.5002 0.7468 0.4998
Sn 0.4998 0.2532 0.5002

=====

First-principles (GGA-PBE) data for an optimized crystal structure of TeBrCl, as listed in the Alexandria database.

## Properties
Space group: P3m1 (156)
Calculated total energy in eV per atom: -2.19
Uncorrected formation energy in eV per atom: 0.030

abc: 4.7077 4.7077 5.3656
angles: 90.00 90.00 120.00
Positions (direct):
Te 0.3333 0.6667 0.6652
Br 0.0000 0.0000 0.8763
Cl 0.6667 0.3333 0.4585